VASP calculation (GGA-PBE) on a relaxed Pr2CdTc crystal.

## Properties
- energy of formation (eV per atom) = -0.03

a = 3.608 Å, b = 3.608 Å, c = 8.016 Å
α = 90.00°, β = 90.00°, γ = 90.00°
Space group P4/mmm (No. 123)
Unique sites:
Pr 0.000 0.000 0.213 x2
Cd 0.500 0.500 0.500 x1
Tc 0.500 0.500 0.000 x1